Record 1
The following is a DFT calculation (PBE) of CaTlCo after structural relaxation.

Output
Calculated formation energy (eV/atom): 0.151
DOS at the Fermi energy (states/eV per atom): 1.422
Magnetic moment (μB/f.u.): 1.08

extended XYZ file:
```
3
Lattice="-1.282 2.849 3.324 -3.051 -1.446 -3.068 -0.845 -3.023 2.265" Properties=species:S:1:pos:R:3 pbc="T T T"
Co -2.294 -0.094 2.326
Ca 0.000 0.000 0.000
Tl -2.884 -1.526 0.195
```

Record 2
The following is a DFT calculation (PBE) of Tb3CuRu after structural relaxation.

Output
Calculated formation energy (eV/atom): -0.266
DOS at the Fermi energy (states/eV per atom): 0.703
Magnetic moment (μB/f.u.): 0.00

extended XYZ file:
```
10
Lattice="5.640 -0.128 0.651 -3.006 5.537 -0.554 1.021 -2.455 7.856" Properties=species:S:1:pos:R:3 pbc="T T T"
Cu 0.676 3.077 3.795
Cu 2.979 -0.123 4.158
Tb 0.468 4.125 0.861
Tb 3.290 2.370 2.469
Tb 0.360 0.426 2.248
Tb 3.187 -1.171 7.092
Tb 0.365 0.584 5.484
Tb 3.296 2.528 5.705
Ru 5.912 -1.209 8.366
Ru -2.256 4.162 -0.412
```

Record 3
The following is a DFT calculation (PBE) of Ba2Pb17 after structural relaxation.

Output
Calculated formation energy (eV/atom): -0.123
DOS at the Fermi energy (states/eV per atom): 0.425
Magnetic moment (μB/f.u.): 0.00

extended XYZ file:
```
19
Lattice="-4.142 0.521 -7.744 2.109 -7.955 -3.110 -7.386 -4.234 2.219" Properties=species:S:1:pos:R:3 pbc="T T T"
Pb -6.424 -2.824 -0.736
Pb 1.055 -3.977 -1.555
Pb 0.255 -5.441 -4.484
Pb -2.288 -1.993 -6.369
Pb -8.504 -10.536 -7.797
Pb -2.071 0.260 -3.872
Pb -2.471 -5.481 -6.692
Pb -0.707 -6.851 -1.529
Pb -6.948 -6.187 -1.943
Pb -2.273 -8.020 -4.567
Pb -4.569 -5.338 0.638
Pb -7.146 -3.649 -4.068
Pb -5.351 -3.846 -6.849
Pb -4.068 -7.822 -1.786
Pb -5.104 -0.890 -4.789
Pb -3.693 -2.117 1.109
Pb -0.915 -1.133 -0.838
Ba -6.271 -7.768 -5.749
Ba -3.148 -3.900 -2.886
```

Record 4
The following is a DFT calculation (PBE) of U3Re after structural relaxation.

Output
Calculated formation energy (eV/atom): 0.053
DOS at the Fermi energy (states/eV per atom): 2.009
Magnetic moment (μB/f.u.): 0.00

extended XYZ file:
```
16
Lattice="-2.011 -2.995 -3.112 5.445 -4.313 0.632 -2.887 -2.273 9.361" Properties=species:S:1:pos:R:3 pbc="T T T"
U 2.582 -6.784 8.434
U -2.473 -2.436 4.684
U -0.140 -4.628 8.119
U -2.035 -2.797 -1.553
U 0.249 -4.593 4.999
U 3.020 -7.145 2.197
U 0.687 -4.954 -1.237
U 0.298 -4.989 1.882
U -2.179 -5.139 2.943
U 2.726 -4.442 3.938
U 0.276 -7.076 7.063
U 0.270 -2.505 -0.181
Re -2.393 -4.963 5.993
Re 0.056 -2.329 2.868
Re 0.490 -7.253 4.013
Re 2.940 -4.619 0.888
```

Record 5
The following is a DFT calculation (PBE) of KTa2N2 after structural relaxation.

Output
Formation energy (no corrections) (eV per atom): -0.359
DOS at the Fermi energy (states/eV per atom): 0.520
Magnetic moment (μB/f.u.): 0.00

extended XYZ file:
```
5
Lattice="4.096 0.000 0.000 0.000 4.096 0.000 2.048 2.048 6.642" Properties=species:S:1:pos:R:3 pbc="T T T"
N 4.096 4.096 3.782
N 2.048 2.048 2.861
K 0.000 0.000 0.000
Ta 4.096 2.048 3.321
Ta 2.048 4.096 3.321
```

Record 6
The following is a DFT calculation (PBE) of Zr4I after structural relaxation.

Output
Formation energy (no corrections) (eV per atom): 0.814
DOS at the Fermi energy (states/eV per atom): 0.965
Magnetic moment (μB/f.u.): 0.00

extended XYZ file:
```
5
Lattice="5.213 0.000 0.000 0.000 5.213 0.000 0.000 0.000 5.213" Properties=species:S:1:pos:R:3 pbc="T T T"
Zr 0.000 2.607 2.607
Zr 0.000 0.000 0.000
Zr 2.607 2.607 0.000
Zr 2.607 0.000 2.607
I 2.607 2.607 2.607
```

Record 7
The following is a DFT calculation (PBE) of Ni2PBr after structural relaxation.

Output
Formation energy (no corrections) (eV per atom): 0.450
DOS at the Fermi energy (states/eV per atom): 1.225
Magnetic moment (μB/f.u.): 0.00

extended XYZ file:
```
4
Lattice="-0.535 -2.459 6.491 0.830 2.022 6.609 -2.388 0.899 -6.477" Properties=species:S:1:pos:R:3 pbc="T T T"
P 0.147 -0.218 6.550
Ni -0.705 1.351 3.341
Ni 0.000 0.000 0.000
Br -1.388 -0.889 3.282
```

Record 8
The following is a DFT calculation (PBE) of Sm2Tm3Sn4 after structural relaxation.

Output
Calculated formation energy (eV/atom): -0.596
DOS at the Fermi energy (states/eV per atom): 0.531
Magnetic moment (μB/f.u.): 0.00

extended XYZ file:
```
18
Lattice="-5.615 -4.061 0.180 5.108 -7.125 -1.384 3.758 1.087 8.272" Properties=species:S:1:pos:R:3 pbc="T T T"
Sm 1.195 -1.369 6.372
Sm 3.223 -4.409 1.050
Sm 0.029 -5.689 6.018
Sm 2.057 -8.729 0.696
Sn -1.933 -3.011 5.254
Sn 2.871 -3.764 4.623
Sn 0.381 -6.334 2.445
Sn 6.127 -5.214 6.766
Sn -0.068 -2.854 0.212
Sn 5.184 -7.088 1.814
Sn 3.320 -7.244 6.856
Sn -2.876 -4.885 0.302
Tm 0.266 -3.186 3.155
Tm -2.541 -5.217 3.245
Tm 0.000 0.000 0.000
Tm 5.793 -4.882 3.823
Tm -0.253 -5.593 -0.602
Tm 2.985 -6.912 3.913
```

Which value of DOS at the Fermi energy does entry 4 give? 2.009 states/eV per atom

Copy entry 4 word for word.
The following is a DFT calculation (PBE) of U3Re after structural relaxation.

Output
Calculated formation energy (eV/atom): 0.053
DOS at the Fermi energy (states/eV per atom): 2.009
Magnetic moment (μB/f.u.): 0.00

extended XYZ file:
```
16
Lattice="-2.011 -2.995 -3.112 5.445 -4.313 0.632 -2.887 -2.273 9.361" Properties=species:S:1:pos:R:3 pbc="T T T"
U 2.582 -6.784 8.434
U -2.473 -2.436 4.684
U -0.140 -4.628 8.119
U -2.035 -2.797 -1.553
U 0.249 -4.593 4.999
U 3.020 -7.145 2.197
U 0.687 -4.954 -1.237
U 0.298 -4.989 1.882
U -2.179 -5.139 2.943
U 2.726 -4.442 3.938
U 0.276 -7.076 7.063
U 0.270 -2.505 -0.181
Re -2.393 -4.963 5.993
Re 0.056 -2.329 2.868
Re 0.490 -7.253 4.013
Re 2.940 -4.619 0.888
```